K3TiZn: optimized geometry, GGA-PBE.

The space group is Pm-3m (No. 221) and the conventional cell measures 6.8304, 6.8304 and 6.8304 Å, with angles of 90.00, 90.00 and 90.00 degrees. The inequivalent atoms are K at (0.0000, 0.0000, 0.5000), Ti at (0.0000, 0.0000, 0.0000) and Zn at (0.5000, 0.5000, 0.5000).

The value obtained for the theoretical density is 1.2 Mg/m³. The value obtained for the formation energy is 483 kJ/mol of formula units. The uncorrected energy comes out at -7.46 eV per cell. For the offset from the most stable computed form, the calculation gives 0 meV/atom. The spin magnetization comes out at 4.84 μB/f.u.